# 1
Below is a relaxed structure of Be2AlZn2, with properties calculated at the PBE level.

abc: 7.026 7.026 2.596
angles: 90.00 90.00 90.00
Space group P4/mbm (No. 127)
One atom of each set of equivalent atoms:
Be 0.113 0.387 0.000
Al 0.000 0.000 0.000
Zn 0.183 0.683 0.500



# 2
Below is a relaxed structure of Be2AlZn2, with properties calculated at the PBE level.

abc: 7.223 7.223 2.508
angles: 90.00 90.00 90.00
Space group P4/mbm (No. 127)
One atom of each set of equivalent atoms:
Be 0.172 0.328 0.000
Al 0.000 0.000 0.500
Zn 0.128 0.628 0.500



Number 1: calculated volume 64 Å³/f.u., ΔE to the lowest computed polymorph 0.000 eV per atom. Number 2: calculated volume 65 Å³/f.u., ΔE to the lowest computed polymorph 0.032 eV per atom.